(1)
# PBE LaCrRe2, optimized geometry
data_LaCrRe2
_space_group_name_H-M_alt 'P 1'
_space_group_IT_number 1
_space_group_name_Hall 'P 1'
_cell_length_a 5.686
_cell_length_b 5.686
_cell_length_c 5.686
_cell_angle_alpha 148.24
_cell_angle_beta 127.18
_cell_angle_gamma 62.96
loop_
_atom_site_label
_atom_site_type_symbol
_atom_site_fract_x
_atom_site_fract_y
_atom_site_fract_z
Re1 Re 0.967 0.967 0.000
Re2 Re 0.762 0.262 0.500
La1 La 0.243 0.743 0.500
Cr1 Cr 0.528 0.528 0.000
# * ΔE_f: 702 meV/atom
# * volume: 76 Å³/cell
# * total energy: -36.640 eV/f.u.

(2)
# PBE TlAu, optimized geometry
data_TlAu
_space_group_name_H-M_alt 'P 1'
_space_group_IT_number 1
_space_group_name_Hall 'P 1'
_cell_length_a 9.254
_cell_length_b 9.254
_cell_length_c 4.958
_cell_angle_alpha 90.00
_cell_angle_beta 90.00
_cell_angle_gamma 120.00
loop_
_atom_site_label
_atom_site_type_symbol
_atom_site_fract_x
_atom_site_fract_y
_atom_site_fract_z
Tl1 Tl 0.708 0.934 0.750
Tl2 Tl 0.934 0.226 0.250
Tl3 Tl 0.066 0.774 0.750
Tl4 Tl 0.774 0.708 0.250
Tl5 Tl 0.292 0.066 0.250
Tl6 Tl 0.226 0.292 0.750
Au1 Au 0.580 0.567 0.750
Au2 Au 0.012 0.580 0.250
Au3 Au 0.433 0.012 0.750
Au4 Au 0.420 0.433 0.250
Au5 Au 0.567 0.988 0.250
Au6 Au 0.988 0.420 0.750
# * ΔE_f: 112 meV/atom
# * volume: 368 Å³/cell
# * total energy: -5.420 eV/f.u.

(3)
# PBE CrNi2Cl, optimized geometry
data_CrNi2Cl
_space_group_name_H-M_alt 'P 1'
_space_group_IT_number 1
_space_group_name_Hall 'P 1'
_cell_length_a 4.747
_cell_length_b 3.443
_cell_length_c 3.443
_cell_angle_alpha 90.00
_cell_angle_beta 90.00
_cell_angle_gamma 90.00
loop_
_atom_site_label
_atom_site_type_symbol
_atom_site_fract_x
_atom_site_fract_y
_atom_site_fract_z
Cl1 Cl 0.500 0.500 0.000
Ni1 Ni 0.000 0.000 0.000
Ni2 Ni 0.000 0.500 0.500
Cr1 Cr 0.500 0.000 0.500
# * volume: 56 Å³/cell
# * formation energy (no corrections): 577 meV per atom
# * total energy: -20.723 eV/f.u.

(4)
# PBE Cu2PBr, optimized geometry
data_Cu2PBr
_space_group_name_H-M_alt 'P 1'
_space_group_IT_number 1
_space_group_name_Hall 'P 1'
_cell_length_a 5.704
_cell_length_b 5.704
_cell_length_c 5.704
_cell_angle_alpha 147.01
_cell_angle_beta 87.77
_cell_angle_gamma 101.55
loop_
_atom_site_label
_atom_site_type_symbol
_atom_site_fract_x
_atom_site_fract_y
_atom_site_fract_z
Br1 Br 0.250 0.750 0.500
P1 P 0.750 0.250 0.500
Cu1 Cu 0.969 0.969 0.000
Cu2 Cu 0.531 0.531 0.000
# * volume: 96 Å³/cell
# * formation energy (no corrections): 278 meV per atom
# * total energy: -14.161 eV/f.u.

(5)
# PBE ZrTe2Os, optimized geometry
data_ZrTe2Os
_space_group_name_H-M_alt 'P 1'
_space_group_IT_number 1
_space_group_name_Hall 'P 1'
_cell_length_a 3.477
_cell_length_b 5.460
_cell_length_c 4.539
_cell_angle_alpha 90.00
_cell_angle_beta 90.00
_cell_angle_gamma 90.00
loop_
_atom_site_label
_atom_site_type_symbol
_atom_site_fract_x
_atom_site_fract_y
_atom_site_fract_z
Te1 Te 0.000 0.000 0.000
Te2 Te 0.500 0.500 0.000
Zr1 Zr 0.500 0.000 0.500
Os1 Os 0.000 0.500 0.500
# * volume: 86 Å³/cell
# * formation energy (no corrections): 443 meV per atom
# * total energy: -24.290 eV/f.u.

(6)
# PBE Rb2CeTmS4, optimized geometry
data_Rb2CeTmS4
_space_group_name_H-M_alt 'P 1'
_space_group_IT_number 1
_space_group_name_Hall 'P 1'
_cell_length_a 4.139
_cell_length_b 7.175
_cell_length_c 8.038
_cell_angle_alpha 107.24
_cell_angle_beta 90.00
_cell_angle_gamma 90.00
loop_
_atom_site_label
_atom_site_type_symbol
_atom_site_fract_x
_atom_site_fract_y
_atom_site_fract_z
Ce1 Ce 0.500 0.500 0.000
S1 S 0.000 0.258 0.806
S2 S 0.000 0.742 0.194
S3 S 0.500 0.780 0.809
S4 S 0.500 0.220 0.191
Rb1 Rb 0.500 0.000 0.500
Rb2 Rb 0.000 0.500 0.500
Tm1 Tm 0.000 0.000 0.000
# * volume: 228 Å³/cell
# * formation energy (no corrections): -1797 meV per atom
# * total energy: -43.223 eV/f.u.

(7)
# PBE TaNiPdPt, optimized geometry
data_TaNiPdPt
_space_group_name_H-M_alt 'P 1'
_space_group_IT_number 1
_space_group_name_Hall 'P 1'
_cell_length_a 4.406
_cell_length_b 4.406
_cell_length_c 4.406
_cell_angle_alpha 60.00
_cell_angle_beta 60.00
_cell_angle_gamma 60.00
loop_
_atom_site_label
_atom_site_type_symbol
_atom_site_fract_x
_atom_site_fract_y
_atom_site_fract_z
Pt1 Pt 0.500 0.500 0.500
Ta1 Ta 0.250 0.250 0.250
Pd1 Pd 0.000 0.000 0.000
Ni1 Ni 0.750 0.750 0.750
# * ΔE_f: -328 meV/atom
# * volume: 60 Å³/cell
# * total energy: -30.181 eV/f.u.

(8)
# PBE PaSi2Tc2Ni, optimized geometry
data_PaSi2Tc2Ni
_space_group_name_H-M_alt 'P 1'
_space_group_IT_number 1
_space_group_name_Hall 'P 1'
_cell_length_a 4.397
_cell_length_b 4.397
_cell_length_c 5.180
_cell_angle_alpha 90.00
_cell_angle_beta 90.00
_cell_angle_gamma 90.00
loop_
_atom_site_label
_atom_site_type_symbol
_atom_site_fract_x
_atom_site_fract_y
_atom_site_fract_z
Pa1 Pa 0.000 0.000 0.500
Tc1 Tc 0.500 0.500 0.732
Tc2 Tc 0.500 0.500 0.268
Ni1 Ni 0.000 0.000 0.000
Si1 Si 0.000 0.500 0.000
Si2 Si 0.500 0.000 0.000
# * volume: 100 Å³/cell
# * formation energy (no corrections): -68 meV per atom
# * total energy: -47.264 eV/f.u.

(9)
# PBE Ac8Ge3I4Br, optimized geometry
data_Ac8Ge3I4Br
_space_group_name_H-M_alt 'P 1'
_space_group_IT_number 1
_space_group_name_Hall 'P 1'
_cell_length_a 9.233
_cell_length_b 9.626
_cell_length_c 9.233
_cell_angle_alpha 118.66
_cell_angle_beta 120.00
_cell_angle_gamma 90.00
loop_
_atom_site_label
_atom_site_type_symbol
_atom_site_fract_x
_atom_site_fract_y
_atom_site_fract_z
Ac1 Ac 0.757 0.293 0.515
Ac2 Ac 0.722 0.707 0.964
Ac3 Ac 0.734 0.703 0.468
Ac4 Ac 0.243 0.707 0.964
Ac5 Ac 0.278 0.293 0.036
Ac6 Ac 0.266 0.297 0.532
Ac7 Ac 0.243 0.707 0.485
Ac8 Ac 0.757 0.293 0.036
I1 I 0.500 0.000 0.000
I2 I 0.000 0.000 0.500
I3 I 0.000 0.000 0.000
I4 I 0.500 0.000 0.500
Ge1 Ge 0.500 0.500 0.500
Ge2 Ge 0.500 0.500 0.000
Ge3 Ge 0.000 0.500 0.500
Br1 Br 0.000 0.500 0.000
# * volume: 592 Å³/cell
# * formation energy (no corrections): -1014 meV per atom
# * total energy: -70.813 eV/f.u.

(10)
# PBE LaPmHgO, optimized geometry
data_LaPmHgO
_space_group_name_H-M_alt 'P 1'
_space_group_IT_number 1
_space_group_name_Hall 'P 1'
_cell_length_a 3.828
_cell_length_b 3.862
_cell_length_c 7.395
_cell_angle_alpha 105.13
_cell_angle_beta 105.00
_cell_angle_gamma 90.00
loop_
_atom_site_label
_atom_site_type_symbol
_atom_site_fract_x
_atom_site_fract_y
_atom_site_fract_z
O1 O 0.569 0.527 0.138
La1 La 0.667 0.126 0.335
Hg1 Hg 0.325 0.783 0.650
Pm1 Pm 0.973 0.432 0.946
# * volume: 102 Å³/cell
# * formation energy (no corrections): -1650 meV per atom
# * total energy: -21.539 eV/f.u.

(11)
# PBE SrTl2Pd, optimized geometry
data_SrTl2Pd
_space_group_name_H-M_alt 'P 1'
_space_group_IT_number 1
_space_group_name_Hall 'P 1'
_cell_length_a 6.023
_cell_length_b 8.395
_cell_length_c 16.851
_cell_angle_alpha 90.00
_cell_angle_beta 90.00
_cell_angle_gamma 90.00
loop_
_atom_site_label
_atom_site_type_symbol
_atom_site_fract_x
_atom_site_fract_y
_atom_site_fract_z
Sr1 Sr 0.246 0.750 0.605
Sr2 Sr 0.026 0.250 0.642
Sr3 Sr 0.254 0.750 0.105
Sr4 Sr 0.754 0.250 0.395
Sr5 Sr 0.526 0.750 0.858
Sr6 Sr 0.746 0.250 0.895
Sr7 Sr 0.474 0.250 0.142
Sr8 Sr 0.974 0.750 0.358
Pd1 Pd 0.253 0.250 0.821
Pd2 Pd 0.753 0.750 0.679
Pd3 Pd 0.247 0.250 0.321
Pd4 Pd 0.485 0.750 0.428
Pd5 Pd 0.015 0.750 0.928
Pd6 Pd 0.515 0.250 0.572
Pd7 Pd 0.985 0.250 0.072
Pd8 Pd 0.747 0.750 0.179
Tl1 Tl 0.753 0.552 0.037
Tl2 Tl 0.253 0.052 0.463
Tl3 Tl 0.020 0.949 0.787
Tl4 Tl 0.980 0.051 0.213
Tl5 Tl 0.247 0.052 0.963
Tl6 Tl 0.480 0.949 0.287
Tl7 Tl 0.480 0.551 0.287
Tl8 Tl 0.247 0.448 0.963
Tl9 Tl 0.520 0.449 0.713
Tl10 Tl 0.020 0.551 0.787
Tl11 Tl 0.253 0.448 0.463
Tl12 Tl 0.980 0.449 0.213
Tl13 Tl 0.520 0.051 0.713
Tl14 Tl 0.747 0.948 0.537
Tl15 Tl 0.747 0.552 0.537
Tl16 Tl 0.753 0.948 0.037
# * ΔE_f: -418 meV/atom
# * volume: 852 Å³/cell
# * total energy: -13.280 eV/f.u.

(12)
# PBE NdEr3Ag2, optimized geometry
data_NdEr3Ag2
_space_group_name_H-M_alt 'P 1'
_space_group_IT_number 1
_space_group_name_Hall 'P 1'
_cell_length_a 5.299
_cell_length_b 9.236
_cell_length_c 8.699
_cell_angle_alpha 125.28
_cell_angle_beta 90.00
_cell_angle_gamma 106.67
loop_
_atom_site_label
_atom_site_type_symbol
_atom_site_fract_x
_atom_site_fract_y
_atom_site_fract_z
Ag1 Ag 0.512 0.024 0.857
Ag2 Ag 0.772 0.544 0.156
Ag3 Ag 0.228 0.456 0.844
Ag4 Ag 0.488 0.976 0.143
Er1 Er 0.691 0.382 0.387
Er2 Er 0.938 0.876 0.602
Er3 Er 0.309 0.618 0.613
Er4 Er 0.381 0.763 0.290
Er5 Er 0.062 0.124 0.398
Er6 Er 0.619 0.237 0.710
Nd1 Nd 0.863 0.725 0.919
Nd2 Nd 0.137 0.275 0.081
# * ΔE_f: -129 meV/atom
# * volume: 325 Å³/cell
# * total energy: -24.931 eV/f.u.